No. 1
Compound: Ni2MoPt
Source: the Alexandria database
Functional: meta-GGA SCAN
Structure: PBEsol geometry

a b c (Å): 3.631 3.631 7.672
angles (deg): 90.00 90.00 90.00
Space group I-4m2 (No. 119)
Unique sites:
Ni (0.000, 0.000, 0.000) x2
Ni (0.000, 0.500, 0.250) x2
Mo (0.000, 0.500, 0.750) x2
Pt (0.000, 0.000, 0.500) x2

Results
E_form: -0.20 eV per atom
E: -34.560 eV/atom

No. 2
Compound: Ni2MoPt
Source: the Alexandria database
Functional: meta-GGA SCAN
Structure: PBEsol geometry

a b c (Å): 3.721 3.721 7.326
angles (deg): 90.00 90.00 90.00
Space group I4/mmm (No. 139)
Unique sites:
Ni (0.000, 0.500, 0.250) x4
Mo (0.000, 0.000, 0.000) x2
Pt (0.000, 0.000, 0.500) x2

Results
E_form: -0.14 eV per atom
E: -34.495 eV/atom

No. 3
Compound: ReNi2Mo
Source: the Alexandria database
Functional: meta-GGA SCAN
Structure: PBEsol geometry

a b c (Å): 3.651 3.651 7.569
angles (deg): 90.00 90.00 90.00
Space group I4/mmm (No. 139)
Unique sites:
Re (0.000, 0.000, 0.000) x2
Ni (0.000, 0.500, 0.250) x4
Mo (0.000, 0.000, 0.500) x2

Results
E_form: 0.06 eV per atom
E: -34.521 eV/atom

No. 4
Compound: Re2NiMo
Source: the Alexandria database
Functional: meta-GGA SCAN
Structure: PBEsol geometry

a b c (Å): 3.801 3.801 3.795
angles (deg): 90.00 90.00 90.00
Space group P4/mmm (No. 123)
Unique sites:
Re (0.000, 0.500, 0.000) x2
Ni (0.000, 0.000, 0.500) x1
Mo (0.500, 0.500, 0.500) x1

Results
E_form: -0.01 eV per atom
E: -48.321 eV/atom

No. 5
Compound: ReNi2Mo
Source: the Alexandria database
Functional: meta-GGA SCAN
Structure: PBEsol geometry

a b c (Å): 2.541 4.063 4.976
angles (deg): 90.00 102.91 90.00
Space group Pm (No. 6)
Unique sites:
Re (0.000, 0.000, 0.000) x1
Ni (0.296, 0.000, 0.538) x1
Ni (0.407, 0.500, 0.794) x1
Mo (0.701, 0.500, 0.322) x1

Results
E_form: -0.03 eV per atom
E: -34.610 eV/atom

No. 6
Compound: ReNi2Mo
Source: the Alexandria database
Functional: meta-GGA SCAN
Structure: PBEsol geometry

a b c (Å): 3.715 3.715 7.370
angles (deg): 90.00 90.00 90.00
Space group I-4m2 (No. 119)
Unique sites:
Re (0.000, 0.000, 0.000) x2
Ni (0.000, 0.000, 0.500) x2
Ni (0.000, 0.500, 0.750) x2
Mo (0.000, 0.500, 0.250) x2

Results
E_form: 0.08 eV per atom
E: -34.506 eV/atom

No. 7
Compound: ZnReNi2Mo
Source: the Alexandria database
Functional: meta-GGA SCAN
Structure: PBEsol geometry

a b c (Å): 4.408 4.408 4.595
angles (deg): 90.00 90.00 90.00
Space group P4/mmm (No. 123)
Unique sites:
Zn (0.000, 0.000, 0.000) x1
Re (0.500, 0.500, 0.000) x1
Ni (0.000, 0.500, 0.500) x2
Mo (0.500, 0.500, 0.500) x1

Results
E_form: 1.71 eV per atom
E: -28.655 eV/atom

No. 8
Compound: NiMoRh2
Source: the Alexandria database
Functional: meta-GGA SCAN
Structure: PBEsol geometry

a b c (Å): 3.784 3.784 3.664
angles (deg): 90.00 90.00 90.00
Space group P4/mmm (No. 123)
Unique sites:
Ni (0.000, 0.000, 0.000) x1
Mo (0.500, 0.500, 0.000) x1
Rh (0.000, 0.500, 0.500) x2

Results
E_form: -0.09 eV per atom
E: -29.743 eV/atom

No. 9
Compound: Ni6MoRh
Source: the Alexandria database
Functional: meta-GGA SCAN
Structure: PBEsol geometry

a b c (Å): 7.129 10.081 10.093
angles (deg): 90.00 90.00 90.00
Space group Cmmm (No. 65)
Unique sites:
Ni (0.000, 0.000, 0.000) x2
Ni (0.000, 0.000, 0.500) x2
Ni (0.000, 0.249, 0.246) x8
Ni (0.000, 0.500, 0.000) x2
Ni (0.000, 0.500, 0.500) x2
Ni (0.247, 0.124, 0.373) x16
Ni (0.249, 0.125, 0.123) x16
Mo (0.000, 0.000, 0.256) x4
Mo (0.000, 0.247, 0.000) x4
Rh (0.000, 0.249, 0.500) x4
Rh (0.000, 0.500, 0.254) x4

Results
E_form: 0.08 eV per atom
E: -20.629 eV/atom

No. 10
Compound: NiMoRh2
Source: the Alexandria database
Functional: meta-GGA SCAN
Structure: PBEsol geometry

a b c (Å): 5.973 5.973 5.973
angles (deg): 90.00 90.00 90.00
Space group Fm-3m (No. 225)
Unique sites:
Ni (0.000, 0.000, 0.000) x4
Mo (0.000, 0.000, 0.500) x4
Rh (0.250, 0.250, 0.250) x8

Results
E_form: 0.03 eV per atom
E: -29.623 eV/atom

No. 11
Compound: NiMoRh2
Source: the Alexandria database
Functional: meta-GGA SCAN
Structure: PBEsol geometry

a b c (Å): 2.685 3.678 5.336
angles (deg): 90.00 90.00 90.00
Space group Pmmm (No. 47)
Unique sites:
Ni (0.000, 0.000, 0.000) x1
Mo (0.000, 0.000, 0.500) x1
Rh (0.500, 0.500, 0.241) x2

Results
E_form: -0.12 eV per atom
E: -29.768 eV/atom

No. 12
Compound: NiMoRh2
Source: the Alexandria database
Functional: meta-GGA SCAN
Structure: PBEsol geometry

a b c (Å): 3.780 3.780 7.351
angles (deg): 90.00 90.00 90.00
Space group I4/mmm (No. 139)
Unique sites:
Ni (0.000, 0.000, 0.000) x2
Mo (0.000, 0.000, 0.500) x2
Rh (0.000, 0.500, 0.250) x4

Results
E_form: -0.16 eV per atom
E: -29.814 eV/atom

No. 13
Compound: NiMoRh2
Source: the Alexandria database
Functional: meta-GGA SCAN
Structure: PBEsol geometry

a b c (Å): 3.712 3.712 7.623
angles (deg): 90.00 90.00 90.00
Space group I-4m2 (No. 119)
Unique sites:
Ni (0.000, 0.000, 0.000) x2
Mo (0.000, 0.500, 0.250) x2
Rh (0.000, 0.000, 0.500) x2
Rh (0.000, 0.500, 0.750) x2

Results
E_form: -0.10 eV per atom
E: -29.749 eV/atom

No. 14
Compound: NiMo2RhS
Source: the Alexandria database
Functional: meta-GGA SCAN
Structure: PBEsol geometry

a b c (Å): 4.362 4.362 4.488
angles (deg): 90.00 90.00 90.00
Space group P4/mmm (No. 123)
Unique sites:
Ni (0.000, 0.000, 0.000) x1
Mo (0.000, 0.500, 0.000) x2
Rh (0.000, 0.000, 0.500) x1
S (0.500, 0.500, 0.500) x1

Results
E: -24.364 eV/atom
ΔE_f (raw): 1.504 eV/atom

No. 15
Compound: Ni2MoRu
Source: the Alexandria database
Functional: meta-GGA SCAN
Structure: PBEsol geometry

a b c (Å): 5.855 5.855 5.855
angles (deg): 90.00 90.00 90.00
Space group F-43m (No. 216)
Unique sites:
Ni (0.000, 0.000, 0.000) x4
Ni (0.250, 0.250, 0.250) x4
Mo (0.000, 0.000, 0.500) x4
Ru (0.250, 0.250, 0.750) x4

Results
E_form: 0.16 eV per atom
E: -25.355 eV/atom

No. 16
Compound: Ni2MoRu
Source: the Alexandria database
Functional: meta-GGA SCAN
Structure: PBEsol geometry

a b c (Å): 2.616 3.650 5.192
angles (deg): 90.00 90.00 90.00
Space group Pmm2 (No. 25)
Unique sites:
Ni (0.000, 0.000, 0.000) x1
Ni (0.500, 0.500, 0.225) x1
Mo (0.500, 0.500, 0.746) x1
Ru (0.000, 0.000, 0.476) x1

Results
E_form: 0.08 eV per atom
E: -25.435 eV/atom

No. 17
Compound: NiMoRu
Source: the Alexandria database
Functional: meta-GGA SCAN
Structure: PBEsol geometry

a b c (Å): 2.631 3.776 7.885
angles (deg): 90.00 90.00 90.00
Space group Imm2 (No. 44)
Unique sites:
Ni (0.000, 0.000, 0.000) x2
Mo (0.000, 0.000, 0.332) x2
Ru (0.000, 0.000, 0.659) x2

Results
E_form: 0.05 eV per atom
E: -28.574 eV/atom

No. 18
Compound: NiMoRu2
Source: the Alexandria database
Functional: meta-GGA SCAN
Structure: PBEsol geometry

a b c (Å): 5.337 7.312 2.706
angles (deg): 90.00 90.00 90.00
Space group Cmmm (No. 65)
Unique sites:
Ni (0.000, 0.000, 0.000) x2
Mo (0.000, 0.500, 0.000) x2
Ru (0.250, 0.250, 0.500) x4

Results
E_form: 0.16 eV per atom
E: -30.013 eV/atom

No. 19
Compound: NiMoRu2
Source: the Alexandria database
Functional: meta-GGA SCAN
Structure: PBEsol geometry

a b c (Å): 2.613 4.296 4.760
angles (deg): 90.00 95.52 90.00
Space group P2/m (No. 10)
Unique sites:
Ni (0.000, 0.000, 0.000) x1
Mo (0.500, 0.000, 0.500) x1
Ru (0.213, 0.500, 0.770) x2

Results
E_form: 0.23 eV per atom
E: -29.952 eV/atom

No. 20
Compound: NiMoRu2
Source: the Alexandria database
Functional: meta-GGA SCAN
Structure: PBEsol geometry

a b c (Å): 2.6751 2.6751 25.6992
angles (deg): 90.00 90.00 120.00
Space group R-3m (No. 166, hexagonal axes)
Unique sites:
Ni (0.0000, 0.0000, 0.0000) x3
Mo (0.0000, 0.0000, 0.5000) x3
Ru (0.0000, 0.0000, 0.2530) x6

Results
E_form: 0.20 eV per atom
E: -29.977 eV/atom